Density functional theory data (GGA-PBE) for crystalline FeOs3 at its relaxed geometry.

Cell and atoms, written as POSCAR:
```
FeOs3
1.0
-0.934 2.520 0.268
-0.205 -0.475 3.746
4.069 4.318 0.770
Fe Os
1 3
direct
0.000 0.000 0.000
0.261 0.500 0.240
0.500 0.000 0.500
0.739 0.500 0.760
```

=====

Density functional theory data (GGA-PBE) for crystalline MnZn2Au at its relaxed geometry.

Cell and atoms, written as POSCAR:
```
MnZn2Au
1.0
4.729 0.004 -0.005
3.824 2.782 -0.005
0.829 0.270 4.737
Au Mn Zn
1 1 2
direct
0.750 0.750 0.750
0.250 0.250 0.250
0.998 0.998 0.007
0.502 0.502 0.493
```

=====

no.,total DFT energy (no corrections) (Ry/atom),M_tot (μB per atom),formation enthalpy at 0 K (eV/atom)
1,-0.7632,0.35,0.15
2,-0.2777,0.94,-0.03